DFT (PBE+U) results for Li2Mn3F8 after structural relaxation.

Values from the calculation:
E_tot   -76.14 eV per formula unit
Relative energy among the computed polymorphs   65 meV/atom
Spin magnetization   15.00 μB/f.u.

```
Li2Mn3F8
1.0
3.1946 1.8444 5.1839
-3.1946 1.8444 5.1839
0.0000 -3.6889 5.1839
Li Mn F
2 3 8
Direct
0.1098 0.1098 0.1098
0.8902 0.8902 0.8902
0.0000 0.5000 0.5000
0.5000 0.0000 0.5000
0.5000 0.5000 0.0000
0.0959 0.0959 0.5896
0.0959 0.5896 0.0959
0.4013 0.4013 0.4013
0.4104 0.9041 0.9041
0.5896 0.0959 0.0959
0.5987 0.5987 0.5987
0.9041 0.4104 0.9041
0.9041 0.9041 0.4104
```